A plane-wave DFT calculation with PBE with a Hubbard U was carried out for a relaxed structure of NaVO.

Cell and atoms, written as POSCAR:
```
NaVO
1.0
-1.5948 -7.4183 -8.5267
1.9189 -1.9768 1.3609
-3.8976 -1.5501 3.2439
V O Na
4 4 4
Direct
0.6057 0.0000 0.2347
0.6057 0.5000 0.7347
0.8287 0.5000 0.4847
0.8287 0.0000 0.9847
0.5082 0.5000 0.3669
0.9262 0.0000 0.6858
0.9262 0.5000 0.1858
0.5082 0.0000 0.8669
0.3704 0.5000 0.9845
0.3704 0.0000 0.4845
0.0793 0.5000 0.5730
0.0793 0.0000 0.0730
```

Output
Space-group type: Cm (8)
Raw total energy (eV/atom): -5.43